Below is a relaxed structure of KRbIn4Ag2, with properties calculated at the PBE level.

Cell: 8.281 4.792 12.353 Å, 90.00 90.00 90.00°
Space group Amm2 (No. 38)
Symmetry-distinct sites (fractional):
K 0.000 0.000 0.000
Rb 0.500 0.000 0.092
In 0.189 0.000 0.715
In 0.307 0.000 0.379
Ag 0.000 0.000 0.273
Ag 0.500 0.000 0.818

* calculated volume: 490.2 Å³ per cell
* uncorrected energy: -2.4254 eV/atom